No. 1
This record from Alexandria describes an optimized crystal structure of CdTe. The functional is PBE.

Summary:
Total magnetization (Bohr magnetons per cell): 0.000
V (Å³/atom): 29.89
Theoretical density (Mg/m³): 6.67
Fermi-level density of states (states/eV per cell): 1.91
Formation energy without anion corrections (eV per atom): -0.2817

Cell: 5.942 6.938 5.800 Å, 90.00 90.00 90.00°
Space group Cmcm (No. 63)
Unique sites:
Cd 0.000 0.147 0.250 x4
Te 0.000 0.276 0.750 x4

***

No. 2
This record from Alexandria describes an optimized crystal structure of AcBe2Pd3. The functional is PBE.

Summary:
Energy of formation from the pure elements (kJ per mole of atoms): -48.9
Total magnetization (Bohr magnetons per cell): 0.000
V (Å³/atom): 16.85
Theoretical density (Mg/m³): 9.27
Fermi-level density of states (states/eV per cell): 7.17

Cell: 9.5863 9.5863 3.8103 Å, 90.00 90.00 120.00°
Space group P6/mmm (No. 191)
Unique sites:
Ac 0.0000 0.0000 0.0000 x1
Ac 0.3333 0.6667 0.5000 x2
Be 0.1791 0.3582 0.0000 x6
Pd 0.0000 0.2901 0.5000 x6
Pd 0.0000 0.5000 0.0000 x3

***

No. 3
This record from Alexandria describes an optimized crystal structure of Sm2CoC4. The functional is PBE.

Summary:
Energy of formation from the pure elements (kJ per mole of atoms): -20.2
Total magnetization (Bohr magnetons per cell): 0.010
V (Å³/atom): 13.86
Theoretical density (Mg/m³): 6.98
Fermi-level density of states (states/eV per cell): 14.05

Cell: 7.480 10.017 5.179 Å, 90.00 90.00 90.00°
Space group Ibam (No. 72)
Unique sites:
Sm 0.163 0.145 0.000 x8
Co 0.000 0.500 0.250 x4
C 0.165 0.125 0.500 x8
C 0.165 0.422 0.000 x8